Crystalline LiSi2TeCl at its relaxed geometry. Source: Alexandria via LeMat-Bulk, functional PBE-GGA.

Values from the calculation:
Formation energy (no corrections) ... 36 kJ/mol of atoms
Fermi-level density of states ... 2.38 states/eV per cell

abc: 5.038 4.184 5.038
angles: 90.00 90.00 90.00
Element x y z (fractional)
Si 0.000 0.000 0.500
Si 0.500 0.000 0.000
Li 0.000 0.000 0.000
Te 0.500 0.500 0.500
Cl 0.000 0.500 0.000